--- A ---
Density functional theory data (PBE) for a geometry-optimized Zn2Ga2C structure.

a b c (Å): 5.3916 5.3916 5.7218
angles (deg): 90.00 90.00 90.00
Space group P4/mbm (No. 127)
One atom of each set of equivalent atoms:
Zn: 0.1756 0.3244 0.0000 x4
Ga: 0.1577 0.6577 0.5000 x4
C: 0.0000 0.0000 0.5000 x2

Output
total magnetization: 0.000 μB per atom
Fermi-level density of states: 0.261 states/eV/atom

--- B ---
Density functional theory data (PBE) for a geometry-optimized Zn2Ga2C structure.

a b c (Å): 3.3054 3.3054 15.1225
angles (deg): 90.00 90.00 90.00
Space group I4/mmm (No. 139)
One atom of each set of equivalent atoms:
Zn: 0.0000 0.5000 0.2500 x4
Ga: 0.0000 0.0000 0.0821 x4
C: 0.0000 0.0000 0.5000 x2

Output
total magnetization: 0.000 μB per atom
Fermi-level density of states: 0.511 states/eV/atom

Stability ranking, top entry: A; the second entry is 400 meV/atom less favorable.

--- A ---
Density functional theory data (PBE) for a geometry-optimized Gd3PbC structure.

a b c (Å): 4.9723 4.9723 4.9723
angles (deg): 90.00 90.00 90.00
Space group Pm-3m (No. 221)
One atom of each set of equivalent atoms:
Gd: 0.0000 0.0000 0.5000 x3
Pb: 0.5000 0.5000 0.5000 x1
C: 0.0000 0.0000 0.0000 x1

Output
total magnetization: 4.327 μB per atom
Fermi-level density of states: 0.544 states/eV/atom

--- B ---
Density functional theory data (PBE) for a geometry-optimized Gd3PbC structure.

a b c (Å): 5.8009 5.8009 5.8009
angles (deg): 90.00 90.00 90.00
Space group Pm-3m (No. 221)
One atom of each set of equivalent atoms:
Gd: 0.0000 0.0000 0.5000 x3
Pb: 0.0000 0.0000 0.0000 x1
C: 0.5000 0.5000 0.5000 x1

Output
total magnetization: 4.308 μB per atom
Fermi-level density of states: 2.550 states/eV/atom

Stability ranking, top entry: A; the second entry is 2063 meV/atom less favorable.

--- A ---
Density functional theory data (PBE) for a geometry-optimized GdPuC structure.

a b c (Å): 6.1604 6.1604 6.1604
angles (deg): 90.00 90.00 90.00
Space group F-43m (No. 216)
One atom of each set of equivalent atoms:
Gd: 0.0000 0.0000 0.0000 x4
Pu: 0.0000 0.0000 0.5000 x4
C: 0.2500 0.2500 0.7500 x4

Output
total magnetization: 4.291 μB per atom
Fermi-level density of states: 1.859 states/eV/atom

--- B ---
Density functional theory data (PBE) for a geometry-optimized GdPuC structure.

a b c (Å): 3.4993 3.4993 6.3113
angles (deg): 90.00 90.00 120.00
Space group P3m1 (No. 156)
One atom of each set of equivalent atoms:
Gd: 0.0000 0.0000 0.0000 x1
Pu: 0.3333 0.6667 0.4477 x1
C: 0.6667 0.3333 0.2283 x1

Output
total magnetization: 4.336 μB per atom
Fermi-level density of states: 2.663 states/eV/atom

Stability ranking, top entry: B; the second entry is 348 meV/atom less favorable.

--- A ---
Density functional theory data (PBE) for a geometry-optimized GdReC structure.

a b c (Å): 3.5472 3.5472 4.5776
angles (deg): 90.00 90.00 120.00
Space group P-6m2 (No. 187)
One atom of each set of equivalent atoms:
Gd: 0.0000 0.0000 0.0000 x1
Re: 0.6667 0.3333 0.5000 x1
C: 0.3333 0.6667 0.5000 x1

Output
total magnetization: 2.403 μB per atom
Fermi-level density of states: 0.624 states/eV/atom

--- B ---
Density functional theory data (PBE) for a geometry-optimized GdReC structure.

a b c (Å): 2.9198 2.9198 10.4380
angles (deg): 90.00 90.00 90.00
Space group I4mm (No. 107)
One atom of each set of equivalent atoms:
Gd: 0.0000 0.0000 0.0000 x2
Re: 0.0000 0.0000 0.2735 x2
C: 0.0000 0.0000 0.7003 x2

Output
total magnetization: 2.388 μB per atom
Fermi-level density of states: 0.607 states/eV/atom

Stability ranking, top entry: A; the second entry is 237 meV/atom less favorable.

--- A ---
Density functional theory data (PBE) for a geometry-optimized GdRuC2 structure.

a b c (Å): 4.3690 9.3038 5.2715
angles (deg): 90.00 90.00 90.00
Space group Cmcm (No. 63)
One atom of each set of equivalent atoms:
Gd: 0.0000 0.1838 0.2500 x4
Ru: 0.0000 0.5000 0.0000 x4
C: 0.1576 0.0832 0.7500 x8

Output
total magnetization: 1.729 μB per atom
Fermi-level density of states: 0.720 states/eV/atom

--- B ---
Density functional theory data (PBE) for a geometry-optimized GdRuC2 structure.

a b c (Å): 3.3098 3.3098 15.8016
angles (deg): 90.00 90.00 120.00
Space group R-3m (No. 166, hexagonal axes)
One atom of each set of equivalent atoms:
Gd: 0.0000 0.0000 0.0000 x3
Ru: 0.0000 0.0000 0.5000 x3
C: 0.0000 0.0000 0.2332 x6

Output
total magnetization: 1.722 μB per atom
Fermi-level density of states: 0.454 states/eV/atom

Stability ranking, top entry: A; the second entry is 455 meV/atom less favorable.

--- A ---
Density functional theory data (PBE) for a geometry-optimized GdThC structure.

a b c (Å): 3.6237 3.6237 6.3893
angles (deg): 90.00 90.00 120.00
Space group P3m1 (No. 156)
One atom of each set of equivalent atoms:
Gd: 0.0000 0.0000 0.0000 x1
Th: 0.6667 0.3333 0.5591 x1
C: 0.3333 0.6667 0.7785 x1

Output
total magnetization: 2.523 μB per atom
Fermi-level density of states: 1.049 states/eV/atom

--- B ---
Density functional theory data (PBE) for a geometry-optimized GdThC structure.

a b c (Å): 3.2756 3.2756 12.1872
angles (deg): 90.00 90.00 90.00
Space group I4mm (No. 107)
One atom of each set of equivalent atoms:
Gd: 0.0000 0.0000 0.0000 x2
Th: 0.0000 0.0000 0.7642 x2
C: 0.0000 0.0000 0.3683 x2

Output
total magnetization: 2.433 μB per atom
Fermi-level density of states: 0.902 states/eV/atom

Stability ranking, top entry: A; the second entry is 464 meV/atom less favorable.

--- A ---
Density functional theory data (PBE) for a geometry-optimized GeTeHC2 structure.

a b c (Å): 4.1331 4.1331 5.8030
angles (deg): 90.00 90.00 90.00
Space group P4/mmm (No. 123)
One atom of each set of equivalent atoms:
Ge: 0.0000 0.0000 0.0000 x1
Te: 0.0000 0.0000 0.5000 x1
H: 0.5000 0.5000 0.0000 x1
C: 0.0000 0.5000 0.5000 x2

Output
total magnetization: 0.129 μB per atom
Fermi-level density of states: 0.631 states/eV/atom

--- B ---
Density functional theory data (PBE) for a geometry-optimized GeTeHC2 structure.

a b c (Å): 4.2088 4.2088 3.4660
angles (deg): 90.00 90.00 90.00
Space group P4/mmm (No. 123)
One atom of each set of equivalent atoms:
Ge: 0.0000 0.0000 0.0000 x1
Te: 0.5000 0.5000 0.0000 x1
H: 0.0000 0.0000 0.5000 x1
C: 0.0000 0.5000 0.5000 x2

Output
total magnetization: 0.000 μB per atom
Fermi-level density of states: 0.735 states/eV/atom

Stability ranking, top entry: B; the second entry is 410 meV/atom less favorable.

--- A ---
Density functional theory data (PBE) for a geometry-optimized HfGe3C structure.

a b c (Å): 5.1846 5.1846 5.1846
angles (deg): 90.00 90.00 90.00
Space group Pm-3m (No. 221)
One atom of each set of equivalent atoms:
Hf: 0.0000 0.0000 0.0000 x1
Ge: 0.0000 0.0000 0.5000 x3
C: 0.5000 0.5000 0.5000 x1

Output
total magnetization: 0.311 μB per atom
Fermi-level density of states: 0.686 states/eV/atom

--- B ---
Density functional theory data (PBE) for a geometry-optimized HfGe3C structure.

a b c (Å): 4.3443 4.3443 4.3443
angles (deg): 90.00 90.00 90.00
Space group Pm-3m (No. 221)
One atom of each set of equivalent atoms:
Hf: 0.0000 0.0000 0.0000 x1
Ge: 0.0000 0.5000 0.5000 x3
C: 0.5000 0.5000 0.5000 x1

Output
total magnetization: 0.000 μB per atom
Fermi-level density of states: 0.823 states/eV/atom

Stability ranking, top entry: B; the second entry is 992 meV/atom less favorable.

--- A ---
Density functional theory data (PBE) for a geometry-optimized Hg2GeC structure.

a b c (Å): 6.1465 6.1465 9.5122
angles (deg): 90.00 90.00 90.00
Space group I-42d (No. 122)
One atom of each set of equivalent atoms:
Hg: 0.1640 0.2500 0.1250 x8
Ge: 0.0000 0.0000 0.5000 x4
C: 0.0000 0.0000 0.0000 x4

Output
total magnetization: 0.000 μB per atom
Fermi-level density of states: 0.281 states/eV/atom

--- B ---
Density functional theory data (PBE) for a geometry-optimized Hg2GeC structure.

a b c (Å): 6.6916 6.6916 6.6916
angles (deg): 90.00 90.00 90.00
Space group Fm-3m (No. 225)
One atom of each set of equivalent atoms:
Hg: 0.2500 0.2500 0.2500 x8
Ge: 0.0000 0.0000 0.0000 x4
C: 0.0000 0.0000 0.5000 x4

Output
total magnetization: 0.000 μB per atom
Fermi-level density of states: 0.129 states/eV/atom

Stability ranking, top entry: A; the second entry is 275 meV/atom less favorable.

--- A ---
Density functional theory data (PBE) for a geometry-optimized HgGe2C structure.

a b c (Å): 6.5528 6.5528 6.5528
angles (deg): 90.00 90.00 90.00
Space group Fm-3m (No. 225)
One atom of each set of equivalent atoms:
Hg: 0.0000 0.0000 0.0000 x4
Ge: 0.2500 0.2500 0.2500 x8
C: 0.0000 0.0000 0.5000 x4

Output
total magnetization: 0.000 μB per atom
Fermi-level density of states: 0.431 states/eV/atom

--- B ---
Density functional theory data (PBE) for a geometry-optimized HgGe2C structure.

a b c (Å): 5.6519 5.6519 9.4970
angles (deg): 90.00 90.00 90.00
Space group I-42d (No. 122)
One atom of each set of equivalent atoms:
Hg: 0.0000 0.0000 0.0000 x4
Ge: 0.1592 0.2500 0.6250 x8
C: 0.0000 0.0000 0.5000 x4

Output
total magnetization: 0.000 μB per atom
Fermi-level density of states: 0.036 states/eV/atom

Stability ranking, top entry: B; the second entry is 844 meV/atom less favorable.

--- A ---
Density functional theory data (PBE) for a geometry-optimized HgGeC2 structure.

a b c (Å): 5.0476 5.0476 9.1774
angles (deg): 90.00 90.00 90.00
Space group I-42d (No. 122)
One atom of each set of equivalent atoms:
Hg: 0.0000 0.0000 0.0000 x4
Ge: 0.0000 0.0000 0.5000 x4
C: 0.1986 0.2500 0.6250 x8

Output
total magnetization: 0.000 μB per atom
Fermi-level density of states: 0.195 states/eV/atom

--- B ---
Density functional theory data (PBE) for a geometry-optimized HgGeC2 structure.

a b c (Å): 6.0101 6.0101 6.0101
angles (deg): 90.00 90.00 90.00
Space group Fm-3m (No. 225)
One atom of each set of equivalent atoms:
Hg: 0.0000 0.0000 0.0000 x4
Ge: 0.0000 0.0000 0.5000 x4
C: 0.2500 0.2500 0.2500 x8

Output
total magnetization: 0.000 μB per atom
Fermi-level density of states: 0.902 states/eV/atom

Stability ranking, top entry: A; the second entry is 1076 meV/atom less favorable.

--- A ---
Density functional theory data (PBE) for a geometry-optimized Ho4GeC2 structure.

a b c (Å): 7.3524 7.3524 6.1181
angles (deg): 90.00 90.00 90.00
Space group I4/m (No. 87)
One atom of each set of equivalent atoms:
Ho: 0.1473 0.6706 0.0000 x8
Ge: 0.0000 0.0000 0.5000 x2
C: 0.0000 0.5000 0.2500 x4

Output
total magnetization: 0.000 μB per atom
Fermi-level density of states: 0.052 states/eV/atom

--- B ---
Density functional theory data (PBE) for a geometry-optimized Ho4GeC2 structure.

a b c (Å): 3.7125 12.1874 12.4695
angles (deg): 90.00 90.00 90.00
Space group Cmcm (No. 63)
One atom of each set of equivalent atoms:
Ho: 0.0000 0.0000 0.0000 x4
Ho: 0.0000 0.2659 0.1061 x8
Ho: 0.0000 0.4327 0.7500 x4
Ge: 0.0000 0.1109 0.7500 x4
C: 0.0000 0.3638 0.5604 x8

Output
total magnetization: 0.025 μB per atom
Fermi-level density of states: 0.361 states/eV/atom

Stability ranking, top entry: B; the second entry is 333 meV/atom less favorable.

--- A ---
Density functional theory data (PBE) for a geometry-optimized Ho4Ge2C structure.

a b c (Å): 6.5609 14.9092 6.7503
angles (deg): 90.00 90.00 90.00
Space group Cmce (No. 64)
One atom of each set of equivalent atoms:
Ho: 0.0000 0.1685 0.0449 x8
Ho: 0.2500 0.0120 0.7500 x8
Ge: 0.0000 0.1362 0.4812 x8
C: 0.0000 0.0000 0.0000 x4

Output
total magnetization: 0.000 μB per atom
Fermi-level density of states: 0.100 states/eV/atom

--- B ---
Density functional theory data (PBE) for a geometry-optimized Ho4Ge2C structure.

a b c (Å): 11.3947 3.9600 8.1835
angles (deg): 90.00 123.90 90.00
Space group C2/m (No. 12)
One atom of each set of equivalent atoms:
Ho: 0.0797 0.0000 0.3443 x4
Ho: 0.1607 0.5000 0.0736 x4
Ge: 0.1248 0.5000 0.6580 x4
C: 0.0000 0.0000 0.0000 x2

Output
total magnetization: 0.059 μB per atom
Fermi-level density of states: 0.878 states/eV/atom

Stability ranking, top entry: A; the second entry is 50 meV/atom less favorable.